Record 1
{"formula": "BiPdSe", "functional": "SCAN", "state": "single point on PBEsol structure", "cell": [[6.419, 0.000, 0.000], [0.000, 6.419, 0.000], [0.000, 0.000, 6.419]], "species": ["Bi", "Bi", "Bi", "Bi", "Pd", "Pd", "Pd", "Pd", "Se", "Se", "Se", "Se"], "fractional_positions": [[0.118, 0.118, 0.118], [0.382, 0.882, 0.618], [0.618, 0.382, 0.882], [0.882, 0.618, 0.382], [0.235, 0.265, 0.735], [0.265, 0.735, 0.235], [0.735, 0.235, 0.265], [0.765, 0.765, 0.765], [0.131, 0.631, 0.869], [0.369, 0.369, 0.369], [0.631, 0.869, 0.131], [0.869, 0.131, 0.631]], "magmom_total_mub_per_atom": 0.000, "raw_formation_energy_ev_per_atom": -0.382, "vol_a3_per_fu": 66.1}


Record 2
{"formula": "Tl2Sb", "functional": "SCAN", "state": "single point on PBEsol structure", "cell": [[0.000, 7.250, 7.250], [7.250, 0.000, 7.250], [7.250, 7.250, 0.000]], "species": ["Tl", "Tl", "Tl", "Tl", "Tl", "Tl", "Tl", "Tl", "Tl", "Tl", "Tl", "Tl", "Tl", "Tl", "Tl", "Tl", "Sb", "Sb", "Sb", "Sb", "Sb", "Sb", "Sb", "Sb"], "fractional_positions": [[0.000, 0.000, 0.000], [0.000, 0.000, 0.500], [0.000, 0.500, 0.000], [0.158, 0.158, 0.592], [0.158, 0.592, 0.158], [0.158, 0.592, 0.592], [0.408, 0.408, 0.842], [0.408, 0.842, 0.408], [0.408, 0.842, 0.842], [0.500, 0.000, 0.000], [0.592, 0.158, 0.158], [0.592, 0.158, 0.592], [0.592, 0.592, 0.158], [0.842, 0.408, 0.408], [0.842, 0.408, 0.842], [0.842, 0.842, 0.408], [0.205, 0.765, 0.765], [0.235, 0.235, 0.235], [0.235, 0.235, 0.795], [0.235, 0.795, 0.235], [0.765, 0.205, 0.765], [0.765, 0.765, 0.205], [0.765, 0.765, 0.765], [0.795, 0.235, 0.235]], "magmom_total_mub_per_atom": 0.000, "raw_formation_energy_ev_per_atom": 0.080, "polymorph_energy_mev_per_atom": 79.0, "vol_a3_per_fu": 95.3}


Record 3
{"formula": "ThAg2", "functional": "SCAN", "state": "single point on PBEsol structure", "cell": [[4.802, 0.000, 0.000], [-2.401, 4.159, 0.000], [0.000, 0.000, 3.300]], "species": ["Th", "Ag", "Ag"], "fractional_positions": [[0.000, 0.000, 0.000], [0.333, 0.667, 0.500], [0.667, 0.333, 0.500]], "magmom_total_mub_per_atom": 0.010, "vol_a3_per_fu": 65.9, "formation_energy_ev_per_atom": -0.15}


Record 4
{"formula": "BeHg", "functional": "SCAN", "state": "single point on PBEsol structure", "cell": [[3.400, 0.000, 0.000], [0.000, 3.400, 0.000], [0.000, 0.000, 5.230]], "species": ["Be", "Be", "Hg", "Hg"], "fractional_positions": [[0.250, 0.250, 0.134], [0.750, 0.750, 0.866], [0.250, 0.250, 0.680], [0.750, 0.750, 0.320]], "magmom_total_mub_per_atom": 0.000, "polymorph_energy_mev_per_atom": 0.0, "vol_a3_per_fu": 30.2, "formation_energy_ev_per_atom": 0.34}


Record 5
{"formula": "NaCuPCl2", "functional": "SCAN", "state": "single point on PBEsol structure", "cell": [[4.970, 0.000, 0.000], [0.000, 4.970, 0.000], [0.000, 0.000, 4.374]], "species": ["Na", "Cu", "P", "Cl", "Cl"], "fractional_positions": [[0.000, 0.000, 0.000], [0.500, 0.500, 0.500], [0.500, 0.500, 0.000], [0.000, 0.500, 0.500], [0.500, 0.000, 0.500]], "magmom_total_mub_per_atom": 0.391, "raw_formation_energy_ev_per_atom": -0.408, "vol_a3_per_fu": 108.0}


Record 6
{"formula": "CdRu2W", "functional": "SCAN", "state": "single point on PBEsol structure", "cell": [[3.073, 0.000, 0.000], [0.000, 3.073, 0.000], [0.000, 0.000, 6.537]], "species": ["Cd", "Ru", "Ru", "W"], "fractional_positions": [[0.000, 0.000, 0.000], [0.500, 0.500, 0.278], [0.500, 0.500, 0.722], [0.000, 0.000, 0.500]], "magmom_total_mub_per_atom": 0.000, "vol_a3_per_fu": 61.7, "formation_energy_ev_per_atom": 0.07}


Record 7
{"formula": "LiTc2Sb", "functional": "SCAN", "state": "single point on PBEsol structure", "cell": [[3.436, 0.000, 0.000], [0.000, 4.077, 0.000], [0.000, 0.000, 4.279]], "species": ["Li", "Tc", "Tc", "Sb"], "fractional_positions": [[0.000, 0.000, 0.000], [0.000, 0.500, 0.500], [0.500, 0.000, 0.500], [0.500, 0.500, 0.000]], "magmom_total_mub_per_atom": 0.000, "raw_formation_energy_ev_per_atom": 0.236, "vol_a3_per_fu": 59.9}


Record 8
{"formula": "Cu3Sn", "functional": "SCAN", "state": "single point on PBEsol structure", "cell": [[4.291, 0.000, 0.000], [0.000, 5.405, 0.000], [0.000, 0.000, 4.740]], "species": ["Cu", "Cu", "Cu", "Cu", "Cu", "Cu", "Sn", "Sn"], "fractional_positions": [[0.250, 0.002, 0.156], [0.250, 0.498, 0.156], [0.250, 0.750, 0.697], [0.750, 0.250, 0.303], [0.750, 0.502, 0.844], [0.750, 0.998, 0.844], [0.250, 0.250, 0.658], [0.750, 0.750, 0.342]], "magmom_total_mub_per_atom": 0.000, "vol_a3_per_fu": 55.0, "formation_energy_ev_per_atom": 0.03}


Copy entry 4 word for word.
{"formula": "BeHg", "functional": "SCAN", "state": "single point on PBEsol structure", "cell": [[3.400, 0.000, 0.000], [0.000, 3.400, 0.000], [0.000, 0.000, 5.230]], "species": ["Be", "Be", "Hg", "Hg"], "fractional_positions": [[0.250, 0.250, 0.134], [0.750, 0.750, 0.866], [0.250, 0.250, 0.680], [0.750, 0.750, 0.320]], "magmom_total_mub_per_atom": 0.000, "polymorph_energy_mev_per_atom": 0.0, "vol_a3_per_fu": 30.2, "formation_energy_ev_per_atom": 0.34}


Repeat the third record exactly.
{"formula": "ThAg2", "functional": "SCAN", "state": "single point on PBEsol structure", "cell": [[4.802, 0.000, 0.000], [-2.401, 4.159, 0.000], [0.000, 0.000, 3.300]], "species": ["Th", "Ag", "Ag"], "fractional_positions": [[0.000, 0.000, 0.000], [0.333, 0.667, 0.500], [0.667, 0.333, 0.500]], "magmom_total_mub_per_atom": 0.010, "vol_a3_per_fu": 65.9, "formation_energy_ev_per_atom": -0.15}